# 1
ZrBeCd: single point on PBEsol structure, meta-GGA SCAN.

For the density of states at the Fermi level, the calculation gives 1.5 states/eV/cell. The uncorrected energy comes out at -63.26 eV for the cell shown. The symmetry is F-43m (216). For the energy of formation from the pure elements, the calculation gives 0.74 eV per atom.

Cell: 4.4616 4.4616 4.4616 Å, 60.00 60.00 60.00°
With the nearest neighbours (Å) after each atom.
Atoms (fractional coordinates):
Cd  0.5000  0.5000  0.5000  4 Zr 2.73
Be  0.0000  0.0000  0.0000  4 Zr 2.73
Zr  0.2500  0.2500  0.2500  4 Cd 2.73, 4 Be 2.73



# 2
CsBaAsBr2: single point on PBEsol structure, meta-GGA SCAN.

The calculation puts the uncorrected formation energy at -15.564 kcal/mol of atoms. For the density of states at the Fermi level, the calculation gives 4.8 states/eV/cell. The uncorrected energy comes out at -139.85 eV for the cell shown. The symmetry is P4/mmm (123).

Cell: 5.7431 6.2088 6.2088 Å, 90.00 90.00 90.00°
With the nearest neighbours (Å) after each atom.
Atoms (fractional coordinates):
As  0.5000  0.0000  0.0000  2 Cs 2.87
Cs  0.0000  0.0000  0.0000  2 As 2.87, 4 Br 3.10
Br  0.0000  0.0000  0.5000  2 Cs 3.10
Ba  0.5000  0.5000  0.5000  8 Br 4.23, 4 As 4.39
Br  0.0000  0.5000  0.0000  2 Cs 3.10



# 3
Mo2PRu: single point on PBEsol structure, meta-GGA SCAN.

For the density of states at the Fermi level, the calculation gives 1.7 states/eV/cell. The uncorrected energy comes out at -115.23 eV for the cell shown. The symmetry is I4/mmm (139). For the energy of formation from the pure elements, the calculation gives -0.06 eV per atom.

Cell: 3.6299 3.6299 4.8725 Å, 111.87 111.87 90.00°
With the nearest neighbours (Å) after each atom.
Atoms (fractional coordinates):
Ru  0.0000  0.0000  0.0000  4 P 2.57, 8 Mo 2.75
Mo  0.2500  0.7500  0.5000  4 Mo 2.57, 4 Ru 2.75, 4 P 2.75
P  0.5000  0.5000  0.0000  4 Ru 2.57, 8 Mo 2.75
Mo  0.7500  0.2500  0.5000  4 Mo 2.57, 4 Ru 2.75, 4 P 2.75



# 4
Co2NiAs: single point on PBEsol structure, meta-GGA SCAN.

For the density of states at the Fermi level, the calculation gives 3.0 states/eV/cell. The uncorrected energy comes out at -70.64 eV for the cell shown. The symmetry is Cmmm (65). For the energy of formation from the pure elements, the calculation gives 0.08 eV per atom.

Cell: 2.7656 4.0493 4.0493 Å, 103.49 90.00 90.00°
With the nearest neighbours (Å) after each atom.
Atoms (fractional coordinates):
Co  0.0000  0.5000  0.0000  4 As 2.45, 4 Ni 2.45, 2 Co 2.51
Ni  0.5000  0.0000  0.0000  8 Co 2.45, 2 As 2.51
Co  0.0000  0.0000  0.5000  4 Ni 2.45, 4 As 2.45, 2 Co 2.51
As  0.5000  0.5000  0.5000  8 Co 2.45, 2 Ni 2.51



# 5
NaTi3B: single point on PBEsol structure, meta-GGA SCAN.

For the density of states at the Fermi level, the calculation gives 5.4 states/eV/cell. The uncorrected energy comes out at -58.11 eV for the cell shown. The symmetry is Pm-3m (221). For the energy of formation from the pure elements, the calculation gives 0.32 eV per atom.

Cell: 4.3923 4.3923 4.3923 Å, 90.00 90.00 90.00°
With the nearest neighbours (Å) after each atom.
Atoms (fractional coordinates):
Ti  0.0000  0.0000  0.5000  2 B 2.20
Ti  0.5000  0.0000  0.0000  2 B 2.20
Na  0.5000  0.5000  0.5000  12 Ti 3.11
B  0.0000  0.0000  0.0000  6 Ti 2.20
Ti  0.0000  0.5000  0.0000  2 B 2.20



# 6
CoNi: single point on PBEsol structure, meta-GGA SCAN.

For the density of states at the Fermi level, the calculation gives 3.2 states/eV/cell. The uncorrected energy comes out at -66.86 eV for the cell shown. The symmetry is Pmmn (59). For the energy of formation from the pure elements, the calculation gives 0.02 eV per atom.

Cell: 2.4435 3.9634 4.2764 Å, 90.00 90.00 90.00°
With the nearest neighbours (Å) after each atom.
Atoms (fractional coordinates):
Ni  0.0000  0.5000  0.9161  6 Ni 2.44, 6 Co 2.44-2.47
Ni  0.5000  0.0000  0.0839  6 Ni 2.44, 6 Co 2.44-2.47
Co  0.5000  0.5000  0.4152  6 Ni 2.44-2.47, 6 Co 2.44
Co  0.0000  0.0000  0.5848  6 Ni 2.44-2.47, 6 Co 2.44



# 7
LaFeSe2: single point on PBEsol structure, meta-GGA SCAN.

The calculation puts the uncorrected formation energy at -19.660 kcal/mol of atoms. For the density of states at the Fermi level, the calculation gives 2.0 states/eV/cell. The uncorrected energy comes out at -104.80 eV for the cell shown. The symmetry is P4/mmm (123).

Cell: 3.4684 3.4684 6.8318 Å, 90.00 90.00 90.00°
With the nearest neighbours (Å) after each atom.
Atoms (fractional coordinates):
Fe  0.5000  0.5000  0.0000  8 Se 2.90
Se  0.0000  0.0000  0.7729  4 Fe 2.90, 4 La 3.08, 1 Se 3.10
Se  0.0000  0.0000  0.2271  4 Fe 2.90, 4 La 3.08, 1 Se 3.10
La  0.5000  0.5000  0.5000  8 Se 3.08, 2 Fe 3.42



# 8
AlTl2GaB: single point on PBEsol structure, meta-GGA SCAN.

For the density of states at the Fermi level, the calculation gives 1.8 states/eV/cell. The uncorrected energy comes out at -173.27 eV for the cell shown. The symmetry is P4/mmm (123). For the energy of formation from the pure elements, the calculation gives 0.59 eV per atom.

Cell: 3.9755 5.1670 5.1670 Å, 90.00 90.00 90.00°
With the nearest neighbours (Å) after each atom.
Atoms (fractional coordinates):
Ga  0.5000  0.5000  0.5000  8 Tl 3.26
B  0.0000  0.0000  0.0000  2 Al 1.99
Tl  0.0000  0.5000  0.0000  2 B 2.58
Tl  0.0000  0.0000  0.5000  2 B 2.58
Al  0.5000  0.0000  0.0000  2 B 1.99



# 9
KPW2: single point on PBEsol structure, meta-GGA SCAN.

For the density of states at the Fermi level, the calculation gives 2.4 states/eV/cell. The uncorrected energy comes out at -152.57 eV for the cell shown. The symmetry is F-43m (216). For the energy of formation from the pure elements, the calculation gives 1.38 eV per atom.

Cell: 4.5456 4.5456 4.5456 Å, 60.00 60.00 60.00°
With the nearest neighbours (Å) after each atom.
Atoms (fractional coordinates):
W  0.0000  0.0000  0.0000  4 W 2.78, 4 P 2.78
P  0.2500  0.2500  0.2500  4 W 2.78, 4 K 2.78
W  0.7500  0.7500  0.7500  4 W 2.78, 4 K 2.78
K  0.5000  0.5000  0.5000  4 W 2.78, 4 P 2.78



# 10
ScNb3Au: single point on PBEsol structure, meta-GGA SCAN.

For the density of states at the Fermi level, the calculation gives 7.7 states/eV/cell. The uncorrected energy comes out at -177.14 eV for the cell shown. The symmetry is Pm-3m (221). For the energy of formation from the pure elements, the calculation gives 1.13 eV per atom.

Cell: 4.9341 4.9341 4.9341 Å, 90.00 90.00 90.00°
With the nearest neighbours (Å) after each atom.
Atoms (fractional coordinates):
Au  0.0000  0.0000  0.0000  6 Nb 2.47
Nb  0.5000  0.0000  0.0000  2 Au 2.47
Nb  0.0000  0.0000  0.5000  2 Au 2.47
Nb  0.0000  0.5000  0.0000  2 Au 2.47
Sc  0.5000  0.5000  0.5000  12 Nb 3.49



# 11
La2MgAu: single point on PBEsol structure, meta-GGA SCAN.

For the density of states at the Fermi level, the calculation gives 3.3 states/eV/cell. The uncorrected energy comes out at -162.42 eV for the cell shown. The symmetry is P4/mmm (123). For the energy of formation from the pure elements, the calculation gives -0.52 eV per atom.

Cell: 3.9623 5.2324 5.2324 Å, 90.00 90.00 90.00°
With the nearest neighbours (Å) after each atom.
Atoms (fractional coordinates):
La  0.0000  0.5000  0.0000  4 Mg 3.28, 4 Au 3.28
La  0.0000  0.0000  0.5000  4 Mg 3.28, 4 Au 3.28
Mg  0.5000  0.0000  0.0000  8 La 3.28
Au  0.5000  0.5000  0.5000  8 La 3.28



# 12
LaTaCu: single point on PBEsol structure, meta-GGA SCAN.

For the density of states at the Fermi level, the calculation gives 4.4 states/eV/cell. The uncorrected energy comes out at -121.86 eV for the cell shown. The symmetry is F-43m (216). For the energy of formation from the pure elements, the calculation gives 1.01 eV per atom.

Cell: 4.5406 4.5406 4.5406 Å, 60.00 60.00 60.00°
With the nearest neighbours (Å) after each atom.
Atoms (fractional coordinates):
La  0.5000  0.5000  0.5000  4 Ta 2.78
Ta  0.2500  0.2500  0.2500  4 La 2.78, 4 Cu 2.78
Cu  0.0000  0.0000  0.0000  4 Ta 2.78